Compound: Er2TmTi
Source: Alexandria via LeMat-Bulk
Functional: PBE
Structure: optimized geometry

```
Er2TmTi
1.0
3.3742 0.0000 0.0000
0.0000 3.3742 0.0000
0.0000 0.0000 9.3727
Er Tm Ti
2 1 1
Direct
0.0000 0.0000 0.2215
0.0000 0.0000 0.7785
0.5000 0.5000 0.5000
0.5000 0.5000 0.0000
```

Properties
- VASP energy (eV per atom) = -5.217
- total magnetic moment (μB per atom) = 0.000
- formation energy (kJ/mol of atoms) = 15.0
- N(E_F) (states/eV per atom) = 1.581

Compound: Ba3Cd5Ge2
Source: Alexandria via LeMat-Bulk
Functional: PBE
Structure: optimized geometry

```
Ba3Cd5Ge2
1.0
-5.8399 7.6352 3.4509
5.8399 -7.6352 3.4509
5.8399 7.6352 -3.4509
Ba Cd Ge
6 10 4
Direct
0.1413 0.7239 0.8652
0.2500 0.2500 0.0000
0.3587 0.2239 0.5825
0.6413 0.7761 0.4175
0.7500 0.7500 0.0000
0.8587 0.2761 0.1348
0.0169 0.2500 0.7669
0.1315 0.3856 0.5171
0.2500 0.7500 0.5000
0.3685 0.8856 0.2541
0.4831 0.2500 0.2331
0.5169 0.7500 0.7669
0.6315 0.1144 0.7459
0.7500 0.2500 0.5000
0.8685 0.6144 0.4829
0.9831 0.7500 0.2331
0.1406 0.1520 0.2927
0.3594 0.6520 0.0114
0.6406 0.3480 0.9886
0.8594 0.8480 0.7073
```

Properties
- VASP energy (eV per atom) = -2.274
- total magnetic moment (μB per atom) = 0.000
- formation energy (kJ/mol of atoms) = -30.5
- N(E_F) (states/eV per atom) = 0.428

Compound: ScAu2Se
Source: Alexandria via LeMat-Bulk
Functional: PBE
Structure: optimized geometry

```
ScAu2Se
1.0
-1.9408 2.2735 4.6035
1.9408 -2.2735 4.6035
1.9408 2.2735 -4.6035
Sc Au Se
1 2 1
Direct
0.0000 0.0000 0.0000
0.5057 0.5057 0.0000
0.7733 0.2733 0.5000
0.2037 0.7037 0.5000
```

Properties
- VASP energy (eV per atom) = -4.533
- total magnetic moment (μB per atom) = 0.000
- N(E_F) (states/eV per atom) = 0.548
- raw formation energy (meV per atom) = -440